[1]
Tl2VBr6 | PBE | optimized geometry

## Properties
distance to the lowest polymorph of the same formula: 0.0 meV per atom
formation energy (no corrections): -0.8143 eV/atom
mass density: 5.26 g cm⁻³

a = 7.3650 Å, b = 7.8655 Å, c = 10.2442 Å
α = 90.00°, β = 89.39°, γ = 90.00°
Each line ends with the local moment (μB).
Positions (direct):
Br 0.5721 0.4886 0.7620  -0.04
Tl 0.4834 0.0777 0.7487  -0.01
V 0.5000 0.5000 0.0000  1.17
Br 0.7234 0.1789 0.4630  -0.04
Br 0.1816 0.2648 0.5356  -0.04
Br 0.2234 0.3211 0.9630  -0.04
Tl 0.9834 0.4223 0.2487  -0.01
Br 0.8184 0.7352 0.4644  -0.04
Tl 0.5166 0.9223 0.2513  -0.01
Br 0.3184 0.7648 0.9644  -0.04
Br 0.0721 0.0114 0.2620  -0.04
V 0.0000 0.0000 0.5000  1.17
Br 0.7766 0.6789 0.0370  -0.04
Br 0.9279 0.9886 0.7380  -0.04
Tl 0.0166 0.5777 0.7513  -0.01
Br 0.4279 0.5114 0.2380  -0.04
Br 0.6816 0.2352 0.0356  -0.04
Br 0.2766 0.8211 0.5370  -0.04

=====

[2]
AcAl3GaPd | PBE | optimized geometry

## Properties
DFT formation energy: -0.395 eV/atom
mass density: 6.24 g cm⁻³

a = 5.7457 Å, b = 5.9372 Å, c = 8.1119 Å
α = 111.47°, β = 90.00°, γ = 90.00°
Positions (direct):
Al 0.0000 0.7215 0.0000
Al 0.5000 0.7215 0.0000
Pd 0.7500 0.0926 0.1852
Al 0.5000 0.2785 0.0000
Ga 0.7500 0.6299 0.2598
Ac 0.7500 0.2973 0.5946
Al 0.0000 0.2785 0.0000
Al 0.7500 0.8863 0.7727
Ac 0.2500 0.7027 0.4054
Ga 0.2500 0.3701 0.7402
Al 0.2500 0.1137 0.2273
Pd 0.2500 0.9074 0.8148

=====

[3]
SiOsRh3 | PBE | optimized geometry

## Properties
distance to the lowest polymorph of the same formula: 627.9 meV per atom
formation energy (no corrections): 1.4538 eV/atom
mass density: 8.44 g cm⁻³

a = 4.6978 Å, b = 4.6978 Å, c = 4.6978 Å
α = 90.00°, β = 90.00°, γ = 90.00°
Positions (direct):
Rh 0.0000 0.0000 0.5000
Si 0.5000 0.5000 0.5000
Rh 0.5000 0.0000 0.0000
Os 0.0000 0.0000 0.0000
Rh 0.0000 0.5000 0.0000

=====

Here are the calculated final energy numbers, same order: -62.43; -51.85; -31.44 (eV for the cell shown).
Here are the calculated total moment numbers, same order: 2.00; 0.00; 0.00 (μB per cell).